(1)
Compound: Tb6Dy2Tm3Th
Source: Alexandria via LeMat-Bulk
Functional: PBE
Structure: relaxed

The structure belongs to space group C2/m (No. 12); the cell edges are 6.138, 10.623 and 11.750 Å and the angles 90.00°, 100.02° and 90.00°. The distinct sites, in fractional coordinates, are Tb at (0.246, 0.000, 0.249), Tb at (0.249, 0.165, 0.751), Dy at (0.000, 0.333, 0.500), Tm at (0.000, 0.167, 0.000), Tm at (0.000, 0.500, 0.000) and Th at (0.000, 0.000, 0.500).

The value obtained for the volume is 31.4 A^3/atom. The formation energy is 28 meV per atom. The theoretical density is 8.881 Mg/m³. As for the density of states at the Fermi level: 31.6 states/eV/cell.

***

(2)
Compound: TbDy6YTh2
Source: Alexandria via LeMat-Bulk
Functional: PBE
Structure: relaxed

The structure belongs to space group C2/c (No. 15); the cell edges are 8.910, 14.729 and 10.108 Å and the angles 90.00°, 102.36° and 90.00°. The distinct sites, in fractional coordinates, are Tb at (0.000, 0.098, 0.250), Dy at (0.074, 0.313, 0.450), Dy at (0.094, 0.100, 0.618), Dy at (0.200, 0.275, 0.824), Y at (0.000, 0.489, 0.750) and Th at (0.229, 0.454, 0.043).

The value obtained for the volume is 32.4 A^3/atom. The formation energy is 149 meV per atom. The theoretical density is 8.647 Mg/m³. As for the density of states at the Fermi level: 58.5 states/eV/cell.

***

(3)
Compound: Tb2Dy2Y6Th
Source: Alexandria via LeMat-Bulk
Functional: PBE
Structure: relaxed

The structure belongs to space group C2/m (No. 12); the cell edges are 5.701, 11.997 and 10.576 Å and the angles 90.00°, 90.05° and 90.00°. The distinct sites, in fractional coordinates, are Tb at (0.000, 0.136, 0.000), Dy at (0.000, 0.202, 0.500), Y at (0.001, 0.000, 0.289), Y at (0.001, 0.348, 0.209) and Th at (0.000, 0.500, 0.500).

The value obtained for the volume is 32.9 A^3/atom. The formation energy is 152 meV per atom. The theoretical density is 6.466 Mg/m³. As for the density of states at the Fermi level: 32.2 states/eV/cell.

***

(4)
Compound: Tb2DyY6Th3
Source: Alexandria via LeMat-Bulk
Functional: PBE
Structure: relaxed

The structure belongs to space group C2/m (No. 12); the cell edges are 6.201, 10.737 and 11.762 Å and the angles 90.00°, 100.14° and 90.00°. The distinct sites, in fractional coordinates, are Tb at (0.000, 0.167, 0.000), Dy at (0.000, 0.500, 0.000), Y at (0.249, 0.167, 0.746), Y at (0.249, 0.500, 0.746), Th at (0.000, 0.000, 0.500) and Th at (0.000, 0.333, 0.500).

The value obtained for the volume is 32.1 A^3/atom. The formation energy is 25 meV per atom. The theoretical density is 7.366 Mg/m³. As for the density of states at the Fermi level: 35.9 states/eV/cell.

***

(5)
Compound: TbDy6Y2Th
Source: Alexandria via LeMat-Bulk
Functional: PBE
Structure: relaxed

The structure belongs to space group C2/c (No. 15); the cell edges are 9.437, 15.073 and 9.104 Å and the angles 90.00°, 92.71° and 90.00°. The distinct sites, in fractional coordinates, are Tb at (0.000, 0.084, 0.250), Dy at (0.054, 0.328, 0.438), Dy at (0.095, 0.122, 0.604), Dy at (0.216, 0.280, 0.809), Y at (0.244, 0.053, 0.941) and Th at (0.000, 0.462, 0.750).

The value obtained for the volume is 32.3 A^3/atom. The formation energy is 154 meV per atom. The theoretical density is 7.928 Mg/m³. As for the density of states at the Fermi level: 60.0 states/eV/cell.

***

(6)
Compound: TbDy5YTh2
Source: Alexandria via LeMat-Bulk
Functional: PBE
Structure: relaxed

The structure belongs to space group I4/mcm (No. 140); the cell edges are 8.755, 8.755 and 15.504 Å and the angles 90.00°, 90.00° and 90.00°. The distinct sites, in fractional coordinates, are Tb at (0.000, 0.000, 0.250), Dy at (0.000, 0.000, 0.000), Dy at (0.211, 0.289, 0.140), Y at (0.000, 0.500, 0.250) and Th at (0.120, 0.380, 0.500).

The value obtained for the volume is 33.0 A^3/atom. The formation energy is 339 meV per atom. The theoretical density is 8.520 Mg/m³. As for the density of states at the Fermi level: 48.5 states/eV/cell.

***

(7)
Compound: TbDy2Y6Th3
Source: Alexandria via LeMat-Bulk
Functional: PBE
Structure: relaxed

The structure belongs to space group C2/m (No. 12); the cell edges are 6.199, 10.732 and 11.760 Å and the angles 90.00°, 100.14° and 90.00°. The distinct sites, in fractional coordinates, are Tb at (0.000, 0.000, 0.000), Dy at (0.000, 0.333, 0.000), Y at (0.249, 0.000, 0.746), Y at (0.249, 0.333, 0.746), Th at (0.000, 0.167, 0.500) and Th at (0.000, 0.500, 0.500).

The value obtained for the volume is 32.1 A^3/atom. The formation energy is 25 meV per atom. The theoretical density is 7.389 Mg/m³. As for the density of states at the Fermi level: 36.3 states/eV/cell.

***

(8)
Compound: Tb5DyYTh2
Source: Alexandria via LeMat-Bulk
Functional: PBE
Structure: relaxed

The structure belongs to space group I4/mcm (No. 140); the cell edges are 8.750, 8.750 and 15.616 Å and the angles 90.00°, 90.00° and 90.00°. The distinct sites, in fractional coordinates, are Tb at (0.000, 0.000, 0.000), Tb at (0.211, 0.289, 0.140), Dy at (0.000, 0.000, 0.250), Y at (0.000, 0.500, 0.250) and Th at (0.120, 0.380, 0.500).

The value obtained for the volume is 33.2 A^3/atom. The formation energy is 338 meV per atom. The theoretical density is 8.390 Mg/m³. As for the density of states at the Fermi level: 47.7 states/eV/cell.

***

(9)
Compound: TbDyYTh2
Source: Alexandria via LeMat-Bulk
Functional: PBE
Structure: relaxed

The structure belongs to space group Cmcm (No. 63); the cell edges are 6.651, 15.671 and 6.654 Å and the angles 90.00°, 90.00° and 90.00°. The distinct sites, in fractional coordinates, are Tb at (0.000, 0.248, 0.250), Dy at (0.000, 0.349, 0.750), Y at (0.000, 0.153, 0.750) and Th at (0.250, 0.000, 0.000).

The value obtained for the volume is 34.7 A^3/atom. The formation energy is 418 meV per atom. The theoretical density is 8.375 Mg/m³. As for the density of states at the Fermi level: 28.4 states/eV/cell.

***

(10)
Compound: Tb6Dy3YTh2
Source: Alexandria via LeMat-Bulk
Functional: PBE
Structure: relaxed

The structure belongs to space group C2/m (No. 12); the cell edges are 6.172, 10.680 and 11.806 Å and the angles 90.00°, 100.05° and 90.00°. The distinct sites, in fractional coordinates, are Tb at (0.246, 0.000, 0.249), Tb at (0.248, 0.169, 0.752), Dy at (0.000, 0.000, 0.500), Dy at (0.000, 0.334, 0.500), Y at (0.000, 0.500, 0.000) and Th at (0.000, 0.167, 0.000).

The value obtained for the volume is 31.9 A^3/atom. The formation energy is 26 meV per atom. The theoretical density is 8.642 Mg/m³. As for the density of states at the Fermi level: 33.2 states/eV/cell.

***

(11)
Compound: Tb2DyY5Th
Source: Alexandria via LeMat-Bulk
Functional: PBE
Structure: relaxed

The structure belongs to space group I4/mcm (No. 140); the cell edges are 8.792, 8.792 and 15.105 Å and the angles 90.00°, 90.00° and 90.00°. The distinct sites, in fractional coordinates, are Tb at (0.114, 0.386, 0.000), Dy at (0.000, 0.500, 0.250), Y at (0.000, 0.000, 0.000), Y at (0.209, 0.291, 0.363) and Th at (0.000, 0.000, 0.250).

The value obtained for the volume is 32.4 A^3/atom. The formation energy is 307 meV per atom. The theoretical density is 6.581 Mg/m³. As for the density of states at the Fermi level: 46.3 states/eV/cell.

***

(12)
Compound: TbDyY5Th2
Source: Alexandria via LeMat-Bulk
Functional: PBE
Structure: relaxed

The structure belongs to space group I4/mcm (No. 140); the cell edges are 8.782, 8.782 and 15.511 Å and the angles 90.00°, 90.00° and 90.00°. The distinct sites, in fractional coordinates, are Tb at (0.000, 0.500, 0.250), Dy at (0.000, 0.000, 0.250), Y at (0.000, 0.000, 0.000), Y at (0.210, 0.290, 0.139) and Th at (0.119, 0.381, 0.500).

The value obtained for the volume is 33.2 A^3/atom. The formation energy is 333 meV per atom. The theoretical density is 6.830 Mg/m³. As for the density of states at the Fermi level: 49.5 states/eV/cell.

***

(13)
Compound: TbDy3YTh
Source: Alexandria via LeMat-Bulk
Functional: PBE
Structure: relaxed

The structure belongs to space group P2_1/m (No. 11); the cell edges are 10.657, 3.568 and 10.660 Å and the angles 90.00°, 109.31° and 90.00°. The distinct sites, in fractional coordinates, are Tb at (0.128, 0.250, 0.126), Dy at (0.128, 0.250, 0.458), Dy at (0.375, 0.750, 0.043), Dy at (0.379, 0.750, 0.706), Y at (0.125, 0.250, 0.791) and Th at (0.376, 0.750, 0.377).

The value obtained for the volume is 31.9 A^3/atom. The formation energy is 23 meV per atom. The theoretical density is 8.398 Mg/m³. As for the density of states at the Fermi level: 17.2 states/eV/cell.

***

(14)
Compound: Tb6DyY3Th2
Source: Alexandria via LeMat-Bulk
Functional: PBE
Structure: relaxed

The structure belongs to space group C2/m (No. 12); the cell edges are 6.182, 10.696 and 11.830 Å and the angles 90.00°, 100.02° and 90.00°. The distinct sites, in fractional coordinates, are Tb at (0.246, 0.000, 0.247), Tb at (0.249, 0.168, 0.753), Dy at (0.000, 0.500, 0.000), Y at (0.000, 0.000, 0.500), Y at (0.000, 0.334, 0.500) and Th at (0.000, 0.167, 0.000).

The value obtained for the volume is 32.1 A^3/atom. The formation energy is 26 meV per atom. The theoretical density is 7.963 Mg/m³. As for the density of states at the Fermi level: 34.2 states/eV/cell.

***

(15)
Compound: Tb6Dy3Y2Th
Source: Alexandria via LeMat-Bulk
Functional: PBE
Structure: relaxed

The structure belongs to space group C2/m (No. 12); the cell edges are 6.170, 10.680 and 11.816 Å and the angles 90.00°, 100.03° and 90.00°. The distinct sites, in fractional coordinates, are Tb at (0.245, 0.000, 0.250), Tb at (0.249, 0.165, 0.750), Dy at (0.000, 0.167, 0.000), Dy at (0.000, 0.500, 0.000), Y at (0.000, 0.333, 0.500) and Th at (0.000, 0.000, 0.500).

The value obtained for the volume is 31.9 A^3/atom. The formation energy is 25 meV per atom. The theoretical density is 8.018 Mg/m³. As for the density of states at the Fermi level: 31.2 states/eV/cell.

***

(16)
Compound: TbDy5Y2Th
Source: Alexandria via LeMat-Bulk
Functional: PBE
Structure: relaxed

The structure belongs to space group Cmc2_1 (No. 36); the cell edges are 5.708, 21.413 and 9.749 Å and the angles 90.00°, 90.00° and 90.00°. The distinct sites, in fractional coordinates, are Tb at (0.000, 0.191, 0.000), Dy at (0.000, 0.015, 0.001), Dy at (0.000, 0.272, 0.306), Dy at (0.000, 0.304, 0.697), Dy at (0.000, 0.400, 0.023), Dy at (0.000, 0.469, 0.724), Y at (0.000, 0.116, 0.312), Y at (0.000, 0.128, 0.695) and Th at (0.000, 0.406, 0.407).

The value obtained for the volume is 33.1 A^3/atom. The formation energy is 161 meV per atom. The theoretical density is 7.700 Mg/m³. As for the density of states at the Fermi level: 49.4 states/eV/cell.

***

(17)
Compound: Tb5DyY2Th
Source: Alexandria via LeMat-Bulk
Functional: PBE
Structure: relaxed

The structure belongs to space group Cmc2_1 (No. 36); the cell edges are 5.723, 21.474 and 9.761 Å and the angles 90.00°, 90.00° and 90.00°. The distinct sites, in fractional coordinates, are Tb at (0.000, 0.015, 0.000), Tb at (0.000, 0.273, 0.305), Tb at (0.000, 0.303, 0.697), Tb at (0.000, 0.400, 0.023), Tb at (0.000, 0.469, 0.725), Dy at (0.000, 0.190, 0.999), Y at (0.000, 0.116, 0.313), Y at (0.000, 0.127, 0.696) and Th at (0.000, 0.406, 0.407).

The value obtained for the volume is 33.3 A^3/atom. The formation energy is 158 meV per atom. The theoretical density is 7.569 Mg/m³. As for the density of states at the Fermi level: 48.3 states/eV/cell.

***

(18)
Compound: Tb2DyYTh
Source: Alexandria via LeMat-Bulk
Functional: PBE
Structure: relaxed

The structure belongs to space group Cmcm (No. 63); the cell edges are 6.446, 16.497 and 6.412 Å and the angles 90.00°, 90.00° and 90.00°. The distinct sites, in fractional coordinates, are Tb at (0.247, 0.000, 0.000), Dy at (0.000, 0.344, 0.250), Y at (0.000, 0.238, 0.750) and Th at (0.000, 0.156, 0.250).

The value obtained for the volume is 34.1 A^3/atom. The formation energy is 394 meV per atom. The theoretical density is 7.806 Mg/m³. As for the density of states at the Fermi level: 24.7 states/eV/cell.

***

(19)
Compound: Tb2Dy2Tl3
Source: Alexandria via LeMat-Bulk
Functional: PBE
Structure: relaxed

The structure belongs to space group C2/m (No. 12); the cell edges are 15.962, 5.280 and 5.270 Å and the angles 90.00°, 109.28° and 90.00°. The distinct sites, in fractional coordinates, are Tb at (0.122, 0.000, 0.121), Dy at (0.121, 0.500, 0.621), Tl at (0.000, 0.500, 0.000) and Tl at (0.246, 0.000, 0.745).

The value obtained for the volume is 29.9 A^3/atom. The formation energy is -228 meV per atom. The theoretical density is 9.951 Mg/m³. As for the density of states at the Fermi level: 13.5 states/eV/cell. The energy above the lowest structure with this stoichiometry comes out at 0.000 eV/atom.